# 1
K6NaHgO: optimized geometry, PBE.

Results
Space-group type ... P-31c (163)
Formation energy without anion corrections ... -3.13 eV per formula unit
Calculated volume ... 451 Å³/f.u.
VASP energy ... -32.6 eV/cell

a b c (Å): 8.6643 8.6643 13.8844
angles (deg): 90.00 90.00 120.00
With the nearest neighbours (Å) after each atom.
Positions (direct):
Na (0.0000, 0.0000, 0.0000)  6 K 3.85
K (0.9212, 0.3382, 0.1405)  1 O 2.66
K (0.6618, 0.0788, 0.3595)  1 O 2.66
Na (0.0000, 0.0000, 0.5000)  6 K 3.85
Hg (0.3333, 0.6667, 0.2500)  6 K 3.61
K (0.9212, 0.5830, 0.3595)  1 O 2.66
K (0.6618, 0.5830, 0.1405)  1 O 2.66
O (0.3333, 0.6667, 0.7500)  6 K 2.66
K (0.5830, 0.6618, 0.6405)  1 O 2.66
K (0.3382, 0.4170, 0.8595)  1 O 2.66
K (0.4170, 0.3382, 0.3595)  1 O 2.66
K (0.3382, 0.9212, 0.6405)  1 O 2.66
O (0.6667, 0.3333, 0.2500)  6 K 2.66
K (0.5830, 0.9212, 0.8595)  1 O 2.66
K (0.0788, 0.6618, 0.8595)  1 O 2.66
K (0.0788, 0.4170, 0.6405)  1 O 2.66
K (0.4170, 0.0788, 0.1405)  1 O 2.66
Hg (0.6667, 0.3333, 0.7500)  6 K 3.61

***

# 2
CaTa2SbAs: optimized geometry, PBE.

Results
Space-group type ... P4/mmm (123)
Formation energy without anion corrections ... 11.24 eV per formula unit
Calculated volume ... 128 Å³/f.u.
VASP energy ... -23.2 eV/cell

a b c (Å): 4.9322 5.2775 4.9322
angles (deg): 90.00 90.00 90.00
With the nearest neighbours (Å) after each atom.
Positions (direct):
Sb (0.0000, 0.5000, 0.0000)  2 Ca 2.64
Ta (0.0000, 0.0000, 0.5000)  2 Ca 2.47
Ca (0.0000, 0.0000, 0.0000)  4 Ta 2.47, 2 Sb 2.64
Ta (0.5000, 0.0000, 0.0000)  2 Ca 2.47
As (0.5000, 0.5000, 0.5000)  4 Sb 3.49, 8 Ta 3.61

***

# 3
Ge2TeC: optimized geometry, PBE.

Results
Space-group type ... Fm-3m (225)
Formation energy without anion corrections ... 6.19 eV per formula unit
Calculated volume ... 75 Å³/f.u.
Energy above the most stable polymorph in this dataset ... 893.9 meV per atom
VASP energy ... -15.4 eV/cell

a b c (Å): 4.7233 4.7233 4.7233
angles (deg): 60.00 60.00 60.00
With the nearest neighbours (Å) after each atom.
Positions (direct):
Ge (0.7500, 0.7500, 0.7500)  4 C 2.89, 4 Te 2.89
Ge (0.2500, 0.2500, 0.2500)  4 Te 2.89, 4 C 2.89
C (0.0000, 0.0000, 0.0000)  8 Ge 2.89
Te (0.5000, 0.5000, 0.5000)  8 Ge 2.89

***

# 4
DyPaB2: optimized geometry, PBE.

Results
Space-group type ... R-3m (166)
Calculated volume ... 73 Å³/f.u.
Formation energy from the elements ... 0.128 eV/atom
VASP energy ... -26.9 eV/cell

a b c (Å): 3.7370 3.7370 6.4148
angles (deg): 73.07 73.07 60.00
With the nearest neighbours (Å) after each atom.
Positions (direct):
B (0.2582, 0.2582, 0.2254)  3 Pa 2.55, 3 Dy 2.72
Dy (0.5000, 0.5000, 0.5000)  6 B 2.72
B (0.7418, 0.7418, 0.7746)  3 Pa 2.55, 3 Dy 2.72
Pa (0.0000, 0.0000, 0.0000)  6 B 2.55

***

# 5
Ag2BrCl: optimized geometry, PBE.

Results
Space-group type ... R3m (160)
Formation energy without anion corrections ... -1.25 eV per formula unit
Calculated volume ... 108 Å³/f.u.
Energy above the most stable polymorph in this dataset ... 76.6 meV per atom
VASP energy ... -10.5 eV/cell

a b c (Å): 7.4536 7.4536 7.4536
angles (deg): 32.77 32.77 32.77
With the nearest neighbours (Å) after each atom.
Positions (direct):
Ag (0.2526, 0.2526, 0.2526)  3 Br 2.67
Cl (0.7118, 0.7118, 0.7118)  3 Ag 2.59
Br (0.5330, 0.5330, 0.5330)  3 Ag 2.67
Ag (0.0026, 0.0026, 0.0026)  3 Cl 2.59

***

# 6
Na6Tl5Hg: optimized geometry, PBE.

Results
Space-group type ... P2/m (10)
Calculated volume ... 337 Å³/f.u.
Formation energy from the elements ... -0.113 eV/atom
VASP energy ... -21.4 eV/cell

a b c (Å): 4.7823 9.5876 7.7547
angles (deg): 90.00 71.24 90.00
With the nearest neighbours (Å) after each atom.
Positions (direct):
Hg (0.0000, 0.0000, 0.0000)  8 Na 3.35-3.40, 4 Tl 3.36-3.43
Na (0.1653, 0.7516, 0.6692)  7 Tl 3.37-3.46, 4 Na 3.38-3.47, 1 Hg 3.40
Na (0.8347, 0.7516, 0.3308)  7 Tl 3.37-3.46, 4 Na 3.38-3.47, 1 Hg 3.40
Na (0.5000, 0.2447, 0.0000)  2 Hg 3.35, 6 Tl 3.36-3.45, 4 Na 3.38-3.43
Tl (0.3334, 0.5000, 0.3312)  4 Tl 3.39-3.47, 8 Na 3.39-3.46
Tl (0.3386, 0.0000, 0.3279)  2 Hg 3.36-3.43, 8 Na 3.36-3.46, 2 Tl 3.47-3.49
Tl (0.0000, 0.5000, 0.0000)  4 Tl 3.39-3.43, 8 Na 3.42
Na (0.5000, 0.7553, 0.0000)  2 Hg 3.35, 6 Tl 3.36-3.45, 4 Na 3.38-3.43
Na (0.8347, 0.2484, 0.3308)  7 Tl 3.37-3.46, 4 Na 3.38-3.47, 1 Hg 3.40
Na (0.1653, 0.2484, 0.6692)  7 Tl 3.37-3.46, 4 Na 3.38-3.47, 1 Hg 3.40
Tl (0.6614, 0.0000, 0.6721)  2 Hg 3.36-3.43, 8 Na 3.36-3.46, 2 Tl 3.47-3.49
Tl (0.6666, 0.5000, 0.6688)  4 Tl 3.39-3.47, 8 Na 3.39-3.46

***

# 7
KLa2InRh: optimized geometry, PBE.

Results
Space-group type ... P4/mmm (123)
Calculated volume ... 170 Å³/f.u.
Formation energy from the elements ... -0.277 eV/atom
VASP energy ... -22.4 eV/cell

a b c (Å): 5.5999 5.5999 5.4259
angles (deg): 90.00 90.00 90.00
With the nearest neighbours (Å) after each atom.
Positions (direct):
In (0.0000, 0.0000, 0.5000)  2 Rh 2.71
Rh (0.0000, 0.0000, 0.0000)  2 In 2.71, 4 La 2.80
La (0.5000, 0.0000, 0.0000)  2 Rh 2.80
K (0.5000, 0.5000, 0.5000)  8 La 3.90, 4 In 3.96
La (0.0000, 0.5000, 0.0000)  2 Rh 2.80

***

# 8
SmEr2Tm2Mg2: optimized geometry, PBE.

Results
Space-group type ... R-3m (166)
Calculated volume ... 201 Å³/f.u.
Formation energy from the elements ... -0.028 eV/atom
VASP energy ... -26.2 eV/cell

a b c (Å): 5.4073 5.4073 8.5384
angles (deg): 71.54 71.54 60.00
With the nearest neighbours (Å) after each atom.
Positions (direct):
Er (0.5718, 0.5718, 0.2845)  4 Mg 3.32-3.35, 1 Er 3.43, 6 Tm 3.44-3.70
Sm (0.0000, 0.0000, 0.0000)  6 Mg 3.30
Er (0.4282, 0.4282, 0.7155)  4 Mg 3.32-3.35, 1 Er 3.43, 6 Tm 3.44-3.70
Mg (0.7110, 0.7110, 0.8671)  1 Tm 3.19, 3 Sm 3.30, 4 Er 3.32-3.35
Tm (0.8447, 0.8447, 0.4659)  3 Tm 3.17, 1 Mg 3.19, 3 Er 3.44
Mg (0.2890, 0.2890, 0.1329)  1 Tm 3.19, 3 Sm 3.30, 4 Er 3.32-3.35
Tm (0.1553, 0.1553, 0.5341)  3 Tm 3.17, 1 Mg 3.19, 3 Er 3.44

***

# 9
CaTlCuAg: optimized geometry, PBE.

Results
Space-group type ... F-43m (216)
Calculated volume ... 86 Å³/f.u.
Formation energy from the elements ... -0.094 eV/atom
VASP energy ... -11.7 eV/cell

a b c (Å): 4.9570 4.9570 4.9570
angles (deg): 60.00 60.00 60.00
With the nearest neighbours (Å) after each atom.
Positions (direct):
Ca (0.0000, 0.0000, 0.0000)  4 Cu 3.04, 4 Ag 3.04
Cu (0.7500, 0.7500, 0.7500)  4 Tl 3.04, 4 Ca 3.04
Ag (0.2500, 0.2500, 0.2500)  4 Ca 3.04, 4 Tl 3.04
Tl (0.5000, 0.5000, 0.5000)  4 Ag 3.04, 4 Cu 3.04

***

# 10
SrLaCuRh: optimized geometry, PBE.

Results
Space-group type ... F-43m (216)
Calculated volume ... 97 Å³/f.u.
Formation energy from the elements ... -0.260 eV/atom
VASP energy ... -19.1 eV/cell

a b c (Å): 5.1513 5.1513 5.1513
angles (deg): 60.00 60.00 60.00
With the nearest neighbours (Å) after each atom.
Positions (direct):
Cu (0.2500, 0.2500, 0.2500)  4 Sr 3.15, 4 La 3.15
Sr (0.0000, 0.0000, 0.0000)  4 Rh 3.15, 4 Cu 3.15
Rh (0.7500, 0.7500, 0.7500)  4 La 3.15, 4 Sr 3.15
La (0.5000, 0.5000, 0.5000)  4 Cu 3.15, 4 Rh 3.15

***

# 11
Rb2Ti3PbO8: optimized geometry, PBE.

Results
Space-group type ... R3m (160)
Formation energy without anion corrections ... -34.03 eV per formula unit
Calculated volume ... 223 Å³/f.u.
VASP energy ... -103.0 eV/cell

a b c (Å): 6.1238 6.1238 7.7190
angles (deg): 66.63 66.63 60.00
With the nearest neighbours (Å) after each atom.
Positions (direct):
Ti (0.0071, 0.4966, 0.9997)  6 O 1.91-2.07
O (0.3085, 0.7644, 0.1627)  2 Ti 2.05, 1 Pb 2.19
O (0.7644, 0.7644, 0.1627)  2 Ti 2.05, 1 Pb 2.19
O (0.7130, 0.7130, 0.8610)  3 Ti 2.04
Rb (0.1331, 0.1331, 0.6008)  3 O 2.66
O (0.7644, 0.3085, 0.1627)  2 Ti 2.05, 1 Pb 2.19
O (0.2316, 0.6751, 0.8618)  2 Ti 1.91
Ti (0.4966, 0.4966, 0.9997)  6 O 1.91-2.07
O (0.6751, 0.2316, 0.8618)  2 Ti 1.91
Pb (0.8952, 0.8952, 0.3145)  3 O 2.19
O (0.2778, 0.2778, 0.1665)  3 Ti 2.07
O (0.2316, 0.2316, 0.8618)  2 Ti 1.91
Ti (0.4966, 0.0071, 0.9997)  6 O 1.91-2.07
Rb (0.4978, 0.4978, 0.5065)  6 O 2.86-2.90

***

# 12
CaP: optimized geometry, PBE.

Results
Space-group type ... Imm2 (44)
Calculated volume ... 50 Å³/f.u.
Formation energy from the elements ... -0.864 eV/atom
VASP energy ... -36.6 eV/cell

a b c (Å): 4.3184 6.1837 7.4886
angles (deg): 90.00 90.00 90.00
With the nearest neighbours (Å) after each atom.
Positions (direct):
Ca (0.0000, 0.5000, 0.1754)  6 P 2.89-2.94, 2 Ca 3.13
P (0.0000, 0.8138, 0.4707)  1 P 2.30
P (0.0000, 0.1862, 0.4707)  1 P 2.30
P (0.5000, 0.6862, 0.9707)  1 P 2.30
Ca (0.5000, 0.0000, 0.6754)  6 P 2.89-2.94, 2 Ca 3.13
P (0.5000, 0.3138, 0.9707)  1 P 2.30
Ca (0.0000, 0.0000, 0.1090)  6 P 2.94-3.08, 2 Ca 3.13
Ca (0.5000, 0.5000, 0.6090)  6 P 2.94-3.08, 2 Ca 3.13

***

# 13
Ti2MnHgIr: optimized geometry, PBE.

Results
Space-group type ... P4/mmm (123)
Calculated volume ... 120 Å³/f.u.
Formation energy from the elements ... 1.543 eV/atom
VASP energy ... -26.4 eV/cell

a b c (Å): 4.9049 4.9905 4.9049
angles (deg): 90.00 90.00 90.00
With the nearest neighbours (Å) after each atom.
Positions (direct):
Ti (0.5000, 0.0000, 0.0000)  2 Hg 2.45
Ir (0.0000, 0.5000, 0.0000)  2 Hg 2.50
Hg (0.0000, 0.0000, 0.0000)  4 Ti 2.45, 2 Ir 2.50
Ti (0.0000, 0.0000, 0.5000)  2 Hg 2.45
Mn (0.5000, 0.5000, 0.5000)  4 Ir 3.47, 8 Ti 3.50

***

# 14
Cs2RbCeI6: optimized geometry, PBE.

Results
Space-group type ... Pmmn (59)
Formation energy without anion corrections ... -14.65 eV per formula unit
Calculated volume ... 604 Å³/f.u.
VASP energy ... -65.1 eV/cell

a b c (Å): 8.9203 10.2094 13.2607
angles (deg): 90.00 90.00 90.00
With the nearest neighbours (Å) after each atom.
Positions (direct):
Cs (0.5000, 0.8251, 0.7997)  5 I 3.93-4.14
I (0.7590, 0.0257, 0.0000)  1 Ce 3.16
I (0.0000, 0.7984, 0.2371)  1 Ce 3.14
I (0.2389, 0.4049, 0.5000)  1 Ce 3.12
Cs (0.0000, 0.1749, 0.7003)  5 I 3.93-4.14
I (0.0000, 0.7984, 0.7629)  1 Ce 3.14
I (0.2611, 0.5951, 0.0000)  1 Ce 3.12
I (0.5000, 0.2016, 0.2629)  1 Ce 3.14
I (0.7389, 0.5951, 0.0000)  1 Ce 3.12
Rb (0.5000, 0.3065, 0.0000)  6 I 3.64-3.68
I (0.5000, 0.2016, 0.7371)  1 Ce 3.14
I (0.7410, 0.9743, 0.5000)  1 Ce 3.16
Ce (0.0000, 0.7990, 0.0000)  6 I 3.12-3.16
Rb (0.0000, 0.6935, 0.5000)  6 I 3.64-3.68
I (0.2590, 0.9743, 0.5000)  1 Ce 3.16
Cs (0.0000, 0.1749, 0.2997)  5 I 3.93-4.14
I (0.2410, 0.0257, 0.0000)  1 Ce 3.16
Ce (0.5000, 0.2010, 0.5000)  6 I 3.12-3.16
I (0.7611, 0.4049, 0.5000)  1 Ce 3.12
Cs (0.5000, 0.8251, 0.2003)  5 I 3.93-4.14

***

# 15
Li3NdSm2S6: optimized geometry, PBE.

Results
Space-group type ... C2/m (12)
Formation energy without anion corrections ... -21.55 eV per formula unit
Calculated volume ... 261 Å³/f.u.
VASP energy ... -66.3 eV/cell

a b c (Å): 6.9731 6.9731 6.6226
angles (deg): 100.06 100.06 120.03
With the nearest neighbours (Å) after each atom.
Positions (direct):
Nd (0.0000, 0.0000, 0.0000)  6 S 2.83
S (0.7483, 0.7483, 0.2557)  3 Li 2.75-2.81, 2 Sm 2.80, 1 Nd 2.83
S (0.4212, 0.0846, 0.2550)  3 Li 2.74-2.79, 2 Sm 2.80, 1 Nd 2.83
Sm (0.6665, 0.3335, 0.0000)  6 S 2.80
S (0.9154, 0.5788, 0.7450)  3 Li 2.74-2.79, 2 Sm 2.80, 1 Nd 2.83
Li (0.1691, 0.8309, 0.5000)  6 S 2.74-2.81
Sm (0.3335, 0.6665, 0.0000)  6 S 2.80
Li (0.8309, 0.1691, 0.5000)  6 S 2.74-2.81
S (0.5788, 0.9154, 0.7450)  3 Li 2.74-2.79, 2 Sm 2.80, 1 Nd 2.83
S (0.0846, 0.4212, 0.2550)  3 Li 2.74-2.79, 2 Sm 2.80, 1 Nd 2.83
S (0.2517, 0.2517, 0.7443)  3 Li 2.75-2.81, 2 Sm 2.80, 1 Nd 2.83
Li (0.5000, 0.5000, 0.5000)  6 S 2.75-2.79

***

# 16
YBi2Rh2: optimized geometry, PBE.

Results
Space-group type ... P2_1/m (11)
Calculated volume ... 115 Å³/f.u.
Formation energy from the elements ... -0.498 eV/atom
Energy above the most stable polymorph in this dataset ... 0.0 meV per atom
VASP energy ... -62.8 eV/cell

a b c (Å): 4.8109 4.6942 10.1730
angles (deg): 90.11 90.00 90.00
With the nearest neighbours (Å) after each atom.
Positions (direct):
Rh (0.7500, 0.7512, 0.1719)  6 Bi 2.86-2.98, 2 Y 2.87
Rh (0.2500, 0.2488, 0.8281)  6 Bi 2.86-2.98, 2 Y 2.87
Rh (0.2500, 0.2580, 0.4942)  4 Y 2.89-3.02, 4 Bi 2.89-2.95
Rh (0.7500, 0.7420, 0.5058)  4 Y 2.89-3.02, 4 Bi 2.89-2.95
Bi (0.7500, 0.2487, 0.3354)  6 Rh 2.86-2.95
Bi (0.7500, 0.2510, 0.0013)  4 Rh 2.92-2.98
Y (0.2500, 0.7523, 0.3261)  6 Rh 2.87-3.02
Bi (0.2500, 0.7513, 0.6646)  6 Rh 2.86-2.95
Y (0.7500, 0.2477, 0.6739)  6 Rh 2.87-3.02
Bi (0.2500, 0.7490, 0.9987)  4 Rh 2.92-2.98

***

# 17
YMg2BiH: optimized geometry, PBE.

Results
Space-group type ... P4/mmm (123)
Calculated volume ... 102 Å³/f.u.
VASP energy ... -18.3 eV/cell

a b c (Å): 4.6854 4.6854 4.6618
angles (deg): 90.00 90.00 90.00
With the nearest neighbours (Å) after each atom.
Positions (direct):
Mg (0.5000, 0.0000, 0.0000)  2 H 2.34
Y (0.0000, 0.0000, 0.5000)  2 H 2.33
H (0.0000, 0.0000, 0.0000)  2 Y 2.33, 4 Mg 2.34
Bi (0.5000, 0.5000, 0.5000)  8 Mg 3.30, 4 Y 3.31
Mg (0.0000, 0.5000, 0.0000)  2 H 2.34